# 1
Tb2YCdO | PBE | relaxed

Cell and atoms, written as CIF:
```
data_Tb2YCdO
_chemical_formula_sum 'Tb2 Y1 Cd1 O1'
_cell_length_a 4.8082
_cell_length_b 4.8121
_cell_length_c 4.8121
_cell_angle_alpha 90.00
_cell_angle_beta 90.00
_cell_angle_gamma 90.00
_symmetry_space_group_name_H-M 'P 1'
_symmetry_Int_Tables_number 1
_symmetry_space_group_name_Hall 'P 1'
loop_
_atom_site_label
_atom_site_fract_x
_atom_site_fract_y
_atom_site_fract_z
Y1 0.5000 0.0000 0.0000
O1 0.0000 0.0000 0.0000
Tb1 0.0000 0.0000 0.5000
Tb2 0.0000 0.5000 0.0000
Cd1 0.5000 0.5000 0.5000
```

Results
Total magnetic moment   0.00 Bohr magnetons per cell
Space-group type   P4/mmm, No. 123
Formation energy from raw total energies   -1.327 eV/atom
DOS at the Fermi energy   0.492 states/eV/atom
VASP energy   -5.647 eV/atom

=====

# 2
TaBeCo | PBE | relaxed

Cell and atoms, written as CIF:
```
data_TaBeCo
_chemical_formula_sum 'Ta6 Be6 Co6'
_cell_length_a 3.2516
_cell_length_b 6.1358
_cell_length_c 10.7143
_cell_angle_alpha 90.00
_cell_angle_beta 90.00
_cell_angle_gamma 90.00
_symmetry_space_group_name_H-M 'P 1'
_symmetry_Int_Tables_number 1
_symmetry_space_group_name_Hall 'P 1'
loop_
_atom_site_label
_atom_site_fract_x
_atom_site_fract_y
_atom_site_fract_z
Be1 0.5000 0.9507 0.5926
Be2 0.0000 0.5557 0.2500
Co1 0.5000 0.4276 0.3744
Ta1 0.0000 0.2469 0.9582
Be3 0.5000 0.0493 0.4074
Be4 0.0000 0.4443 0.7500
Co2 0.5000 0.4276 0.1256
Co3 0.5000 0.5724 0.8744
Ta2 0.0000 0.1453 0.2500
Ta3 0.0000 0.8547 0.7500
Co4 0.5000 0.2050 0.7500
Ta4 0.0000 0.2469 0.5418
Be5 0.5000 0.0493 0.0926
Co5 0.5000 0.5724 0.6256
Ta5 0.0000 0.7531 0.4582
Co6 0.5000 0.7950 0.2500
Ta6 0.0000 0.7531 0.0418
Be6 0.5000 0.9507 0.9074
```

Results
Total magnetic moment   0.00 Bohr magnetons per cell
Relative energy among the computed polymorphs   0 meV per atom
Calculated formation energy   -0.93 eV per formula unit
Space-group type   Pmma, No. 51
DOS at the Fermi energy   0.436 states/eV/atom
VASP energy   -7.870 eV/atom

=====

# 3
BeCu3Pb | PBE | relaxed

Cell and atoms, written as CIF:
```
data_BeCu3Pb
_chemical_formula_sum 'Be1 Cu3 Pb1'
_cell_length_a 4.2865
_cell_length_b 4.2865
_cell_length_c 4.2865
_cell_angle_alpha 90.00
_cell_angle_beta 90.00
_cell_angle_gamma 90.00
_symmetry_space_group_name_H-M 'P 1'
_symmetry_Int_Tables_number 1
_symmetry_space_group_name_Hall 'P 1'
loop_
_atom_site_label
_atom_site_fract_x
_atom_site_fract_y
_atom_site_fract_z
Cu1 0.0000 0.5000 0.0000
Cu2 0.0000 0.0000 0.5000
Be1 0.0000 0.0000 0.0000
Cu3 0.5000 0.0000 0.0000
Pb1 0.5000 0.5000 0.5000
```

Results
Total magnetic moment   0.00 Bohr magnetons per cell
Relative energy among the computed polymorphs   0 meV per atom
Calculated formation energy   1.76 eV per formula unit
Space-group type   Pm-3m, No. 221
DOS at the Fermi energy   0.504 states/eV/atom
VASP energy   -3.592 eV/atom